(1)
Material: Be2C
Method: DFT, GGA-PBE
State: relaxed

Lattice parameters (Å, degrees): 2.953 12.862 3.349 90.00 90.00 90.00
Space group Cmcm (No. 63)
One atom of each set of equivalent atoms:
Be 0.000 0.114 0.250 x4
Be 0.000 0.273 0.250 x4
C 0.000 0.331 0.750 x4

Magnetization: 0.00 μB per atom
Crystal system: orthorhombic
Energy of formation from the pure elements: 0.30 eV per atom

***

(2)
Material: Be2C
Method: DFT, GGA-PBE
State: relaxed

Lattice parameters (Å, degrees): 2.955 2.955 4.623 90.00 90.00 90.00
Space group P4/nmm (No. 129, origin choice 2)
One atom of each set of equivalent atoms:
Be 0.250 0.250 0.122 x2
Be 0.250 0.750 0.500 x2
C 0.250 0.250 0.741 x2

Magnetization: 0.00 μB per atom
Crystal system: tetragonal
Energy of formation from the pure elements: 0.14 eV per atom

***

(3)
Material: Be5C3
Method: DFT, GGA-PBE
State: relaxed

Lattice parameters (Å, degrees): 5.3486 5.3486 4.5020 90.00 90.00 120.00
Space group P6_3/mcm (No. 193)
One atom of each set of equivalent atoms:
Be 0.0000 0.2872 0.2500 x6
Be 0.3333 0.6667 0.0000 x4
C 0.0000 0.3635 0.7500 x6

Magnetization: 0.00 μB per atom
Crystal system: hexagonal
Energy of formation from the pure elements: 0.39 eV per atom

***

(4)
Material: Be2C
Method: DFT, GGA-PBE
State: relaxed

Lattice parameters (Å, degrees): 2.849 2.849 5.331 90.00 90.00 90.00
Space group I4/mmm (No. 139)
One atom of each set of equivalent atoms:
Be 0.000 0.000 0.177 x4
C 0.000 0.000 0.500 x2

Magnetization: 0.00 μB per atom
Crystal system: tetragonal
Energy of formation from the pure elements: 0.72 eV per atom

***

(5)
Material: BeC3
Method: DFT, GGA-PBE
State: relaxed

Lattice parameters (Å, degrees): 4.844 4.844 4.844 90.00 90.00 90.00
Space group Fm-3m (No. 225)
One atom of each set of equivalent atoms:
Be 0.000 0.000 0.000 x4
C 0.000 0.000 0.500 x4
C 0.250 0.250 0.250 x8

Magnetization: 0.00 μB per atom
Crystal system: cubic
Energy of formation from the pure elements: 3.10 eV per atom

***

(6)
Material: BeC3
Method: DFT, GGA-PBE
State: relaxed

Lattice parameters (Å, degrees): 2.4647 2.4647 13.9813 90.00 90.00 120.00
Space group R-3m (No. 166, hexagonal axes)
One atom of each set of equivalent atoms:
Be 0.0000 0.0000 0.0000 x3
C 0.0000 0.0000 0.2349 x6
C 0.0000 0.0000 0.5000 x3

Magnetization: 0.00 μB per atom
Crystal system: trigonal
Energy of formation from the pure elements: 1.77 eV per atom

***

(7)
Material: BeC3
Method: DFT, GGA-PBE
State: relaxed

Lattice parameters (Å, degrees): 4.4614 4.4614 6.0726 90.00 90.00 120.00
Space group P6_3/mmc (No. 194)
One atom of each set of equivalent atoms:
Be 0.3333 0.6667 0.2500 x2
C 0.1236 0.5618 0.7500 x6

Magnetization: 0.00 μB per atom
Crystal system: hexagonal
Energy of formation from the pure elements: 0.97 eV per atom

***

(8)
Material: BeC3
Method: DFT, GGA-PBE
State: relaxed

Lattice parameters (Å, degrees): 2.489 2.489 16.360 90.00 90.00 90.00
Space group I4/mmm (No. 139)
One atom of each set of equivalent atoms:
Be 0.000 0.000 0.158 x4
C 0.000 0.000 0.418 x4
C 0.000 0.500 0.000 x4
C 0.000 0.500 0.250 x4

Magnetization: 0.00 μB per atom
Crystal system: tetragonal
Energy of formation from the pure elements: 2.20 eV per atom